#A
This record from the Alexandria database describes a relaxed GeB3S crystal. The functional is GGA-PBE.

Geometry as CIF:
```
data_GeB3S
_chemical_formula_sum 'Ge1 B3 S1'
_space_group_name_H-M_alt 'P m -3 m'
_space_group_IT_number 221
_space_group_name_Hall '-P 4 2 3'
_cell_length_a 4.168
_cell_length_b 4.168
_cell_length_c 4.168
_cell_angle_alpha 90.00
_cell_angle_beta 90.00
_cell_angle_gamma 90.00
loop_
_atom_site_label
_atom_site_fract_x
_atom_site_fract_y
_atom_site_fract_z
Ge1 0.000 0.000 0.000
B1 0.000 0.000 0.500
S1 0.500 0.500 0.500
```

#B
This record from the Alexandria database describes a relaxed GeB3S crystal. The functional is GGA-PBE.

Geometry as CIF:
```
data_GeB3S
_chemical_formula_sum 'Ge1 B3 S1'
_space_group_name_H-M_alt 'P m -3 m'
_space_group_IT_number 221
_space_group_name_Hall '-P 4 2 3'
_cell_length_a 3.861
_cell_length_b 3.861
_cell_length_c 3.861
_cell_angle_alpha 90.00
_cell_angle_beta 90.00
_cell_angle_gamma 90.00
loop_
_atom_site_label
_atom_site_fract_x
_atom_site_fract_y
_atom_site_fract_z
Ge1 0.000 0.000 0.000
B1 0.000 0.500 0.500
S1 0.500 0.500 0.500
```

Relative energies, unit meV/atom: #A 249; #B 0